# Cu2SbAs, relaxed, DFT GGA-PBE
data_Cu2SbAs
_space_group_name_H-M_alt 'A m m 2'
_space_group_IT_number 38
_cell_length_a 4.422
_cell_length_b 4.530
_cell_length_c 7.931
_cell_angle_alpha 90.00
_cell_angle_beta 90.00
_cell_angle_gamma 90.00
loop_
_space_group_symop_operation_xyz
'x,y,z'
'-x,-y,z'
'-x,y,z'
'x,-y,z'
'x,y+1/2,z+1/2'
'-x,-y+1/2,z+1/2'
'-x,y+1/2,z+1/2'
'x,-y+1/2,z+1/2'
loop_
_atom_site_label
_atom_site_type_symbol
_atom_site_fract_x
_atom_site_fract_y
_atom_site_fract_z
Cu1 Cu 0.000 0.000 0.000
Cu2 Cu 0.500 0.000 0.153
Sb1 Sb 0.000 0.000 0.335
As1 As 0.500 0.000 0.837
# - E_form (uncorrected) (eV per atom) = 0.074
# - spin magnetization (μB/cell) = 0.00
# - offset from the most stable computed form (eV/f.u.) = 0.00